Entry from Alexandria via LeMat-Bulk: CsMgH3 at its PBEsol-relaxed geometry (SCAN).

Lattice parameters (Å, degrees): 6.037 8.380 9.848 90.00 90.00 90.00
Atoms (fractional coordinates):
H 0.206 0.168 0.000
H 0.500 0.098 0.500
H 0.500 0.703 0.700
H 0.000 0.902 0.000
Cs 0.000 0.176 0.500
H 0.250 0.000 0.250
H 0.294 0.832 0.500
Mg 0.500 0.927 0.360
Cs 0.500 0.337 0.778
H 0.240 0.510 0.000
H 0.740 0.490 0.500
H 0.000 0.297 0.800
Mg 0.500 0.630 0.500
Cs 0.500 0.824 0.000
Cs 0.500 0.337 0.222
H 0.750 0.000 0.750
Mg 0.000 0.073 0.860
H 0.750 0.000 0.250
H 0.260 0.490 0.500
H 0.794 0.168 0.000
Mg 0.000 0.073 0.140
H 0.000 0.297 0.200
Cs 0.000 0.663 0.722
H 0.760 0.510 0.000
H 0.500 0.703 0.300
Mg 0.000 0.370 0.000
Cs 0.000 0.663 0.278
H 0.250 0.000 0.750
Mg 0.500 0.927 0.640
H 0.706 0.832 0.500

Output
N(E_F) ... 0.000 states/eV/atom
Magnetization ... 0.00 μB/cell
VASP energy ... -10.98 eV/atom